# GGA+U Rb2CeV3F12, optimized geometry
data_Rb2CeV3F12
_cell_length_a 12.3715
_cell_length_b 12.3715
_cell_length_c 13.6124
_cell_angle_alpha 90.00
_cell_angle_beta 90.00
_cell_angle_gamma 120.00
_symmetry_space_group_name_H-M 'R -3 m'
_symmetry_Int_Tables_number 166
_symmetry_space_group_name_Hall '-R 3 2"'
loop_
_atom_site_label
_atom_site_fract_x
_atom_site_fract_y
_atom_site_fract_z
_atom_site_occupancy
Rb1 0.0000 0.0000 0.1911 1
Ce1 0.0000 0.0000 0.5000 1
V1 0.0000 0.5000 0.0000 1
F1 0.0810 0.5405 0.8739 1
F2 0.0818 0.1636 0.3953 1
# E_tot = -308.001 eV/cell


# GGA+U RbCeVF6, optimized geometry
data_RbCeVF6
_cell_length_a 8.0453
_cell_length_b 8.5287
_cell_length_c 11.2112
_cell_angle_alpha 90.00
_cell_angle_beta 90.00
_cell_angle_gamma 90.00
_symmetry_space_group_name_H-M 'I m m a'
_symmetry_Int_Tables_number 74
_symmetry_space_group_name_Hall '-I 2b 2'
loop_
_atom_site_label
_atom_site_fract_x
_atom_site_fract_y
_atom_site_fract_z
_atom_site_occupancy
Rb1 0.0000 0.2500 0.0333 1
Ce1 0.0000 0.0000 0.5000 1
V1 0.2500 0.2500 0.7500 1
F1 0.0000 0.2500 0.4127 1
F2 0.0000 0.2500 0.7901 1
F3 0.2229 0.0780 0.6140 1
# E_tot = -219.104 eV/cell


# GGA+U Rb2CeVF6, optimized geometry
data_Rb2CeVF6
_cell_length_a 6.2942
_cell_length_b 9.0811
_cell_length_c 6.6703
_cell_angle_alpha 90.00
_cell_angle_beta 90.00
_cell_angle_gamma 90.00
_symmetry_space_group_name_H-M 'P m m n'
_symmetry_Int_Tables_number 59
loop_
_symmetry_equiv_pos_as_xyz
'x,y,z'
'-x,-y,-z'
'-x+1/2,-y+1/2,z'
'x+1/2,y+1/2,-z'
'x+1/2,-y,-z'
'-x+1/2,y,z'
'-x,y+1/2,-z'
'x,-y+1/2,z'
loop_
_atom_site_label
_atom_site_fract_x
_atom_site_fract_y
_atom_site_fract_z
_atom_site_occupancy
Rb1 0.2500 0.0145 0.2180 1
Ce1 0.2500 0.2500 0.7193 1
V1 0.2500 0.7500 0.7707 1
F1 0.0016 0.2500 0.4503 1
F2 0.0066 0.7500 0.0035 1
F3 0.2500 0.5112 0.7777 1
# E_tot = -110.521 eV/cell


Which formula does entry 3 have? Rb2CeVF6